No. 1
Below is LaCr2Re after structural relaxation, with properties calculated at the PBE-GGA level.

The crystal system is orthorhombic. As for the formation energy from the elements: 0.764 eV per atom.

It has space group Immm (No. 71), with a = 3.328 Å, b = 5.223 Å, c = 9.236 Å, α = 90.00°, β = 90.00° and γ = 90.00°. Symmetry generates all atoms from La at (0.000, 0.000, 0.000), Cr at (0.000, 0.500, 0.203) and Re at (0.000, 0.000, 0.500).

---

No. 2
Below is CsHg3Pd after structural relaxation, with properties calculated at the PBE-GGA level.

The crystal system is cubic. As for the formation energy from the elements: -0.156 eV per atom.

It has space group Fd-3m (No. 227, origin choice 2), with a = 14.811 Å, b = 14.811 Å, c = 14.811 Å, α = 90.00°, β = 90.00° and γ = 90.00°. Symmetry generates all atoms from Cs at (0.000, 0.000, 0.000), Hg at (0.047, 0.375, 0.875) and Pd at (0.000, 0.000, 0.500).

---

No. 3
Below is LiCdHg2F8 after structural relaxation, with properties calculated at the PBE-GGA level.

The crystal system is triclinic.

It has space group P-1 (No. 2), with a = 4.035 Å, b = 5.397 Å, c = 7.771 Å, α = 90.07°, β = 91.37° and γ = 91.45°. Symmetry generates all atoms from Li at (0.000, 0.000, 0.000), Cd at (0.000, 0.000, 0.500), Hg at (0.473, 0.476, 0.237), F at (0.059, 0.189, 0.222), F at (0.064, 0.301, 0.709), F at (0.413, 0.753, 0.033) and F at (0.456, 0.759, 0.531).

---

No. 4
Below is Ti3MoC after structural relaxation, with properties calculated at the PBE-GGA level.

The crystal system is cubic. As for the formation energy from the elements: 1.944 eV per atom.

It has space group Pm-3m (No. 221), with a = 4.659 Å, b = 4.659 Å, c = 4.659 Å, α = 90.00°, β = 90.00° and γ = 90.00°. Symmetry generates all atoms from Ti at (0.000, 0.000, 0.500), Mo at (0.000, 0.000, 0.000) and C at (0.500, 0.500, 0.500).

---

no.,final energy (eV/cell),Fermi-level density of states (states/eV per atom)
1,-67.1,0.9884
2,-123.7,0.3009
3,-39.2,0.5237
4,-34.0,1.1042